A relaxed Ta2MoAu crystal. Source: Alexandria via LeMat-Bulk, functional PBE.

SG = No. 122
formation energy = 598 meV/atom
ρ = 14.446 g cm⁻³

Cell: 5.8894 5.8894 5.8894 Å, 103.15 103.15 123.02°
Last column: nearest neighbours and their distance in Å.
Positions (direct):
Ta 0.1140 0.6250 0.9890  2 Mo 2.63, 2 Au 2.74, 2 Ta 2.81
Ta 0.3750 0.3640 0.4890  2 Mo 2.63, 2 Au 2.74, 2 Ta 2.81
Ta 0.6360 0.1250 0.0110  2 Mo 2.63, 2 Au 2.74, 2 Ta 2.81
Ta 0.8750 0.8860 0.5110  2 Mo 2.63, 2 Au 2.74, 2 Ta 2.81
Mo 0.0000 0.0000 0.0000  4 Ta 2.63, 2 Au 2.81
Mo 0.7500 0.2500 0.5000  4 Ta 2.63, 2 Au 2.81
Au 0.2500 0.7500 0.5000  4 Ta 2.74, 2 Mo 2.81
Au 0.5000 0.5000 0.0000  4 Ta 2.74, 2 Mo 2.81

A relaxed TaMo2Au crystal. Source: Alexandria via LeMat-Bulk, functional PBE.

SG = No. 8
formation energy = 188 meV/atom
ρ = 14.035 g cm⁻³

Cell: 4.9726 4.9726 5.1810 Å, 96.33 96.33 31.99°
Last column: nearest neighbours and their distance in Å.
Positions (direct):
Ta 0.0000 0.0000 0.0000  2 Ta 2.74, 7 Mo 2.84-2.99, 3 Au 2.86-2.88
Mo 0.5117 0.5117 0.5007  5 Mo 2.74-2.95, 3 Au 2.89-2.93, 4 Ta 2.92-2.94
Mo 0.7550 0.7550 0.2640  5 Mo 2.74-2.95, 3 Ta 2.84-2.99, 4 Au 2.91-2.95
Au 0.2543 0.2543 0.7586  2 Au 2.74, 3 Ta 2.86-2.88, 7 Mo 2.89-2.95

A relaxed TaMoAu3 crystal. Source: Alexandria via LeMat-Bulk, functional PBE.

SG = No. 221
formation energy = 1488 meV/atom
ρ = 10.986 g cm⁻³

Cell: 5.0809 5.0809 5.0809 Å, 90.00 90.00 90.00°
Last column: nearest neighbours and their distance in Å.
Positions (direct):
Ta 0.0000 0.0000 0.0000  6 Au 2.54
Mo 0.5000 0.5000 0.5000  12 Au 3.59
Au 0.0000 0.0000 0.5000  2 Ta 2.54
Au 0.0000 0.5000 0.0000  2 Ta 2.54
Au 0.5000 0.0000 0.0000  2 Ta 2.54

A relaxed Ta4MoAu crystal. Source: Alexandria via LeMat-Bulk, functional PBE.

SG = No. 216
formation energy = 389 meV/atom
ρ = 15.257 g cm⁻³

Cell: 5.3888 5.3888 5.3888 Å, 60.00 60.00 60.00°
Last column: nearest neighbours and their distance in Å.
Positions (direct):
Ta 0.3768 0.3768 0.3768  6 Ta 2.66-2.73
Ta 0.3768 0.3768 0.8695  6 Ta 2.66-2.73
Ta 0.3768 0.8695 0.3768  6 Ta 2.66-2.73
Ta 0.8695 0.3768 0.3768  6 Ta 2.66-2.73
Mo 0.7500 0.7500 0.7500  12 Ta 3.16, 4 Au 3.30
Au 0.0000 0.0000 0.0000  12 Ta 3.16, 4 Mo 3.30

A relaxed Ta2MoAu crystal. Source: Alexandria via LeMat-Bulk, functional PBE.

SG = No. 12
formation energy = 77 meV/atom
ρ = 15.625 g cm⁻³

Cell: 5.3667 5.3667 2.7890 Å, 99.19 99.19 114.88°
Last column: nearest neighbours and their distance in Å.
Positions (direct):
Ta 0.0000 0.5000 0.0000  4 Ta 2.79-2.89, 2 Mo 2.82, 2 Au 2.82
Ta 0.5000 0.0000 0.0000  4 Ta 2.79-2.89, 2 Mo 2.82, 2 Au 2.82
Mo 0.0000 0.0000 0.5000  2 Mo 2.79, 4 Ta 2.82, 2 Au 2.89
Au 0.5000 0.5000 0.5000  2 Au 2.79, 4 Ta 2.82, 2 Mo 2.89

A relaxed TaMo2Au crystal. Source: Alexandria via LeMat-Bulk, functional PBE.

SG = No. 160
formation energy = 313 meV/atom
ρ = 13.870 g cm⁻³

Cell: 10.0442 10.0442 10.0442 Å, 16.13 16.13 16.13°
Last column: nearest neighbours and their distance in Å.
Positions (direct):
Ta 0.0000 0.0000 0.0000  6 Ta 2.82, 3 Au 2.98, 3 Mo 3.02
Mo 0.2476 0.2476 0.2476  9 Mo 2.82-2.92, 3 Ta 3.02
Mo 0.4995 0.4995 0.4995  9 Mo 2.82-2.92, 3 Au 2.94
Au 0.7505 0.7505 0.7505  6 Au 2.82, 3 Mo 2.94, 3 Ta 2.98

Number 1: V 18.817 Å³/atom. Number 2: V 16.853 Å³/atom. Number 3: V 26.233 Å³/atom. Number 4: V 18.442 Å³/atom. Number 5: V 17.397 Å³/atom. Number 6: V 17.055 Å³/atom.